No. 1
The following is a DFT calculation (PBE-GGA) of Cs2ScReI6 after structural relaxation.

Cell lengths 8.095, 8.095, 8.095 Å; angles 119.96, 119.96, 90.07 degrees
Positions (direct):
1 Cs 0.250 0.750 0.500
2 Cs 0.750 0.250 0.500
3 Sc 0.000 0.000 0.000
4 Re 0.500 0.500 0.000
5 I 0.257 0.257 0.000
6 I 0.257 0.257 0.514
7 I 0.257 0.743 0.000
8 I 0.743 0.257 0.000
9 I 0.743 0.743 0.000
10 I 0.743 0.743 0.486

Space group: No. 139
ΔE_f (raw) in eV per atom: -0.6256
Fermi-level density of states in states/eV per cell: 0.31
Calculated volume in Å³ per atom: 37.54
VASP energy in eV/atom: -3.60

=====

No. 2
The following is a DFT calculation (PBE-GGA) of Np3TiRh12 after structural relaxation.

Cell lengths 3.975, 3.975, 15.966 Å; angles 90.00, 90.00, 90.00 degrees
Positions (direct):
1 Np 0.000 0.000 0.000
2 Np 0.000 0.000 0.256
3 Np 0.000 0.000 0.744
4 Ti 0.000 0.000 0.500
5 Rh 0.000 0.500 0.128
6 Rh 0.000 0.500 0.382
7 Rh 0.000 0.500 0.618
8 Rh 0.000 0.500 0.872
9 Rh 0.500 0.000 0.128
10 Rh 0.500 0.000 0.382
11 Rh 0.500 0.000 0.618
12 Rh 0.500 0.000 0.872
13 Rh 0.500 0.500 0.000
14 Rh 0.500 0.500 0.255
15 Rh 0.500 0.500 0.500
16 Rh 0.500 0.500 0.745

DFT formation energy in eV/atom: -0.450
Space group: No. 123
Fermi-level density of states in states/eV per cell: 30.91
Calculated volume in Å³ per atom: 15.77
VASP energy in eV/atom: -8.88

=====

No. 3
The following is a DFT calculation (PBE-GGA) of BaAs after structural relaxation.

Cell lengths 5.223, 14.061, 6.624 Å; angles 90.00, 90.00, 90.00 degrees
Positions (direct):
1 Ba 0.000 0.000 0.000
2 Ba 0.000 0.306 0.062
3 Ba 0.000 0.694 0.062
4 Ba 0.500 0.194 0.562
5 Ba 0.500 0.500 0.500
6 Ba 0.500 0.806 0.562
7 As 0.000 0.342 0.557
8 As 0.000 0.500 0.767
9 As 0.000 0.658 0.557
10 As 0.500 0.000 0.267
11 As 0.500 0.158 0.057
12 As 0.500 0.842 0.057

DFT formation energy in eV/atom: -0.875
Space group: No. 44
Fermi-level density of states in states/eV per cell: 4.80
Calculated volume in Å³ per atom: 40.54
VASP energy in eV/atom: -4.16

=====

No. 4
The following is a DFT calculation (PBE-GGA) of Mn2CoSn after structural relaxation.

Cell lengths 3.813, 3.813, 3.922 Å; angles 90.00, 90.00, 90.00 degrees
Positions (direct):
1 Mn 0.000 0.500 0.000
2 Mn 0.500 0.000 0.000
3 Co 0.000 0.000 0.500
4 Sn 0.500 0.500 0.500

DFT formation energy in eV/atom: 0.087
Space group: No. 123
Fermi-level density of states in states/eV per cell: 3.94
Calculated volume in Å³ per atom: 14.25
VASP energy in eV/atom: -7.27

=====

No. 5
The following is a DFT calculation (PBE-GGA) of LaThSc2 after structural relaxation.

Cell lengths 3.501, 3.501, 32.775 Å; angles 90.00, 90.00, 120.00 degrees
Positions (direct):
1 La 0.000 0.000 0.000
2 La 0.333 0.667 0.667
3 La 0.667 0.333 0.333
4 Th 0.000 0.000 0.500
5 Th 0.333 0.667 0.167
6 Th 0.667 0.333 0.833
7 Sc 0.000 0.000 0.247
8 Sc 0.000 0.000 0.753
9 Sc 0.333 0.667 0.419
10 Sc 0.333 0.667 0.914
11 Sc 0.667 0.333 0.086
12 Sc 0.667 0.333 0.581

DFT formation energy in eV/atom: 0.058
Space group: No. 166
Fermi-level density of states in states/eV per cell: 18.09
Calculated volume in Å³ per atom: 29.00
VASP energy in eV/atom: -6.19

=====

No. 6
The following is a DFT calculation (PBE-GGA) of Sc2BeAu after structural relaxation.

Cell lengths 6.493, 6.493, 6.493 Å; angles 90.00, 90.00, 90.00 degrees
Positions (direct):
1 Sc 0.000 0.000 0.000
2 Sc 0.000 0.500 0.500
3 Sc 0.250 0.250 0.250
4 Sc 0.250 0.750 0.750
5 Sc 0.500 0.000 0.500
6 Sc 0.500 0.500 0.000
7 Sc 0.750 0.250 0.750
8 Sc 0.750 0.750 0.250
9 Be 0.250 0.250 0.750
10 Be 0.250 0.750 0.250
11 Be 0.750 0.250 0.250
12 Be 0.750 0.750 0.750
13 Au 0.000 0.000 0.500
14 Au 0.000 0.500 0.000
15 Au 0.500 0.000 0.000
16 Au 0.500 0.500 0.500

DFT formation energy in eV/atom: -0.151
Space group: No. 216
Fermi-level density of states in states/eV per cell: 17.72
Calculated volume in Å³ per atom: 17.11
VASP energy in eV/atom: -5.07

=====

No. 7
The following is a DFT calculation (PBE-GGA) of PrNd5In2 after structural relaxation.

Cell lengths 3.743, 10.971, 12.773 Å; angles 90.00, 90.00, 90.00 degrees
Positions (direct):
1 Pr 0.000 0.000 0.000
2 Pr 0.500 0.500 0.500
3 Nd 0.000 0.221 0.361
4 Nd 0.000 0.221 0.639
5 Nd 0.000 0.500 0.000
6 Nd 0.000 0.779 0.361
7 Nd 0.000 0.779 0.639
8 Nd 0.500 0.000 0.500
9 Nd 0.500 0.279 0.139
10 Nd 0.500 0.279 0.861
11 Nd 0.500 0.721 0.139
12 Nd 0.500 0.721 0.861
13 In 0.000 0.500 0.270
14 In 0.000 0.500 0.730
15 In 0.500 0.000 0.230
16 In 0.500 0.000 0.770

DFT formation energy in eV/atom: -0.174
Space group: No. 71
Fermi-level density of states in states/eV per cell: 23.26
Calculated volume in Å³ per atom: 32.78
VASP energy in eV/atom: -4.44

=====

No. 8
The following is a DFT calculation (PBE-GGA) of Pr5NdBi4 after structural relaxation.

Cell lengths 10.139, 10.139, 8.915 Å; angles 105.52, 105.52, 25.95 degrees
Positions (direct):
1 Pr 0.000 0.000 0.000
2 Pr 0.323 0.323 0.150
3 Pr 0.337 0.337 0.675
4 Pr 0.663 0.663 0.325
5 Pr 0.677 0.677 0.850
6 Nd 0.000 0.000 0.500
7 Bi 0.170 0.170 0.588
8 Bi 0.492 0.492 0.244
9 Bi 0.508 0.508 0.756
10 Bi 0.830 0.830 0.412

DFT formation energy in eV/atom: -0.582
Space group: No. 12
Fermi-level density of states in states/eV per cell: 7.95
Calculated volume in Å³ per atom: 38.57
VASP energy in eV/atom: -5.00

=====

No. 9
The following is a DFT calculation (PBE-GGA) of YPbBr2 after structural relaxation.

Cell lengths 4.816, 4.816, 4.835 Å; angles 90.00, 90.00, 90.00 degrees
Positions (direct):
1 Y 0.000 0.000 0.000
2 Pb 0.500 0.500 0.000
3 Br 0.000 0.500 0.500
4 Br 0.500 0.000 0.500

Space group: No. 123
ΔE_f (raw) in eV per atom: -0.6267
Fermi-level density of states in states/eV per cell: 1.74
Calculated volume in Å³ per atom: 28.04
VASP energy in eV/atom: -4.01

=====

No. 10
The following is a DFT calculation (PBE-GGA) of FePb2Br after structural relaxation.

Cell lengths 5.448, 5.572, 3.462 Å; angles 90.00, 90.00, 90.00 degrees
Positions (direct):
1 Fe 0.000 0.000 0.000
2 Pb 0.000 0.500 0.067
3 Pb 0.500 0.000 0.145
4 Br 0.500 0.500 0.573

Space group: No. 25
ΔE_f (raw) in eV per atom: 0.2976
Fermi-level density of states in states/eV per cell: 3.79
Calculated volume in Å³ per atom: 26.27
VASP energy in eV/atom: -4.09

=====

No. 11
The following is a DFT calculation (PBE-GGA) of AgICl after structural relaxation.

Cell lengths 4.055, 5.769, 9.610 Å; angles 89.92, 81.12, 89.99 degrees
Positions (direct):
1 Ag 0.000 0.000 0.000
2 Ag 0.213 0.500 0.048
3 I 0.098 0.218 0.554
4 I 0.120 0.718 0.495
5 Cl 0.497 0.791 0.884
6 Cl 0.716 0.290 0.164

Space group: No. 1
ΔE_f (raw) in eV per atom: -0.2402
Fermi-level density of states in states/eV per cell: 0.60
Calculated volume in Å³ per atom: 37.02
VASP energy in eV/atom: -2.32

=====

No. 12
The following is a DFT calculation (PBE-GGA) of Ac6Co2PdI3 after structural relaxation.

Cell lengths 7.523, 7.523, 8.989 Å; angles 98.01, 98.01, 120.00 degrees
Positions (direct):
1 Ac 0.090 0.439 0.817
2 Ac 0.212 0.212 0.183
3 Ac 0.439 0.090 0.817
4 Ac 0.561 0.910 0.183
5 Ac 0.788 0.788 0.817
6 Ac 0.910 0.561 0.183
7 Co 0.167 0.833 0.000
8 Co 0.833 0.167 0.000
9 Pd 0.500 0.500 0.000
10 I 0.000 0.000 0.500
11 I 0.334 0.666 0.500
12 I 0.666 0.334 0.500

Space group: No. 12
ΔE_f (raw) in eV per atom: -0.7544
Fermi-level density of states in states/eV per cell: 5.48
Calculated volume in Å³ per atom: 35.26
VASP energy in eV/atom: -4.81